Record 1
# TaMnSe

An optimized crystal structure of TaMnSe (GGA-PBE, Alexandria).

Cell: 4.065 4.065 4.065 Å, 60.00 60.00 60.00°
Fractional coordinates of all 3 atoms:
1 Ta 0.000 0.000 0.000
2 Mn 0.250 0.250 0.250
3 Se 0.500 0.500 0.500

Properties
total energy = -8.241 eV per atom
V = 47.51 Å³/cell
SG = F-43m, No. 216
energy relative to the elements, uncorrected = -72 meV/atom
offset from the most stable computed form = 188 meV per atom


Record 2
# RbAg2Te2

An optimized crystal structure of RbAg2Te2 (GGA-PBE, Alexandria).

Cell: 8.921 8.921 3.483 Å, 90.00 90.00 90.00°
Fractional coordinates of all 10 atoms:
1 Rb 0.000 0.000 0.000
2 Rb 0.500 0.500 0.000
3 Ag 0.116 0.384 0.000
4 Ag 0.384 0.884 0.000
5 Ag 0.616 0.116 0.000
6 Ag 0.884 0.616 0.000
7 Te 0.177 0.677 0.500
8 Te 0.323 0.177 0.500
9 Te 0.677 0.823 0.500
10 Te 0.823 0.323 0.500

Properties
total energy = -2.811 eV per atom
V = 277.21 Å³/cell
SG = P4/mbm, No. 127
energy relative to the elements, uncorrected = -221 meV/atom
offset from the most stable computed form = 191 meV per atom


Record 3
# Y2PHPt6

An optimized crystal structure of Y2PHPt6 (GGA-PBE, Alexandria).

Cell: 5.716 8.417 6.903 Å, 90.00 90.00 90.00°
Fractional coordinates of all 20 atoms:
1 Y 0.250 0.030 0.223
2 Y 0.250 0.470 0.223
3 Y 0.750 0.530 0.777
4 Y 0.750 0.970 0.777
5 P 0.250 0.750 0.821
6 P 0.750 0.250 0.179
7 H 0.250 0.250 0.651
8 H 0.750 0.750 0.349
9 Pt 0.010 0.250 0.924
10 Pt 0.010 0.750 0.491
11 Pt 0.250 0.000 0.680
12 Pt 0.250 0.500 0.680
13 Pt 0.490 0.250 0.924
14 Pt 0.490 0.750 0.491
15 Pt 0.510 0.250 0.509
16 Pt 0.510 0.750 0.076
17 Pt 0.750 0.000 0.320
18 Pt 0.750 0.500 0.320
19 Pt 0.990 0.250 0.509
20 Pt 0.990 0.750 0.076

Properties
total energy = -6.640 eV per atom
V = 332.15 Å³/cell
SG = Pmmn, No. 59


Record 4
# CaSn2Pd

An optimized crystal structure of CaSn2Pd (GGA-PBE, Alexandria).

Cell: 5.983 5.983 7.651 Å, 90.00 90.00 136.25°
Fractional coordinates of all 8 atoms:
1 Ca 0.070 0.930 0.750
2 Ca 0.930 0.070 0.250
3 Sn 0.358 0.642 0.546
4 Sn 0.358 0.642 0.954
5 Sn 0.642 0.358 0.046
6 Sn 0.642 0.358 0.454
7 Pd 0.205 0.795 0.250
8 Pd 0.795 0.205 0.750

Properties
total energy = -4.463 eV per atom
V = 189.41 Å³/cell
SG = Cmcm, No. 63
energy of formation = -0.663 eV per atom


Record 5
# SrSc2Cd

An optimized crystal structure of SrSc2Cd (GGA-PBE, Alexandria).

Cell: 4.010 5.266 5.284 Å, 90.00 90.00 90.00°
Fractional coordinates of all 4 atoms:
1 Sr 0.000 0.000 0.000
2 Sc 0.000 0.500 0.500
3 Sc 0.500 0.500 0.000
4 Cd 0.500 0.000 0.500

Properties
total energy = -3.691 eV per atom
V = 111.57 Å³/cell
SG = Pmmm, No. 47
offset from the most stable computed form = 149 meV per atom
energy of formation = 0.124 eV per atom


Record 6
# Sb2TeWN

An optimized crystal structure of Sb2TeWN (GGA-PBE, Alexandria).

Cell: 4.640 4.640 4.583 Å, 90.00 90.00 90.00°
Fractional coordinates of all 5 atoms:
1 Sb 0.000 0.500 0.000
2 Sb 0.500 0.000 0.000
3 Te 0.000 0.000 0.500
4 W 0.500 0.500 0.500
5 N 0.000 0.000 0.000

Properties
total energy = -5.417 eV per atom
V = 98.66 Å³/cell
SG = P4/mmm, No. 123
energy relative to the elements, uncorrected = 1116 meV/atom
offset from the most stable computed form = 0 meV per atom


Record 7
# Hf2ZrBiS

An optimized crystal structure of Hf2ZrBiS (GGA-PBE, Alexandria).

Cell: 5.416 5.416 4.700 Å, 90.00 90.00 90.00°
Fractional coordinates of all 5 atoms:
1 Hf 0.000 0.500 0.000
2 Hf 0.500 0.000 0.000
3 Zr 0.000 0.000 0.000
4 Bi 0.500 0.500 0.500
5 S 0.000 0.000 0.500

Properties
total energy = -6.666 eV per atom
V = 137.87 Å³/cell
SG = P4/mmm, No. 123
energy relative to the elements, uncorrected = 627 meV/atom
offset from the most stable computed form = 0 meV per atom


Record 8
# Al2HgP

An optimized crystal structure of Al2HgP (GGA-PBE, Alexandria).

Cell: 5.198 5.198 5.198 Å, 140.34 110.93 82.70°
Fractional coordinates of all 4 atoms:
1 Al 0.214 0.214 0.000
2 Al 0.786 0.786 0.000
3 Hg 0.500 0.000 0.500
4 P 0.000 0.500 0.500

Properties
total energy = -3.157 eV per atom
V = 81.09 Å³/cell
SG = Immm, No. 71
offset from the most stable computed form = 258 meV per atom
energy of formation = 0.142 eV per atom


Record 9
# CuTe2Pb

An optimized crystal structure of CuTe2Pb (GGA-PBE, Alexandria).

Cell: 6.723 6.723 5.577 Å, 110.82 110.82 34.65°
Fractional coordinates of all 4 atoms:
1 Cu 0.000 0.000 0.000
2 Te 0.360 0.360 0.754
3 Te 0.612 0.612 0.279
4 Pb 0.853 0.853 0.305

Properties
total energy = -3.539 eV per atom
V = 133.01 Å³/cell
SG = Cm, No. 8
energy relative to the elements, uncorrected = -17 meV/atom


Record 10
# NpZnAu

An optimized crystal structure of NpZnAu (GGA-PBE, Alexandria).

Cell: 6.662 6.662 6.662 Å, 153.62 153.62 37.65°
Fractional coordinates of all 3 atoms:
1 Np 0.000 0.000 0.000
2 Zn 0.319 0.319 0.000
3 Au 0.684 0.684 0.000

Properties
total energy = -5.863 eV per atom
V = 58.28 Å³/cell
SG = I4mm, No. 107
energy of formation = -0.032 eV per atom


Record 11
# ReOsPt

An optimized crystal structure of ReOsPt (GGA-PBE, Alexandria).

Cell: 2.758 2.758 6.825 Å, 90.00 90.00 120.00°
Fractional coordinates of all 3 atoms:
1 Re 0.000 0.000 0.000
2 Os 0.667 0.333 0.309
3 Pt 0.333 0.667 0.657

Properties
total energy = -9.923 eV per atom
V = 44.95 Å³/cell
SG = P3m1, No. 156
offset from the most stable computed form = 0 meV per atom
energy of formation = -0.017 eV per atom


Record 12
# LaBe

An optimized crystal structure of LaBe (GGA-PBE, Alexandria).

Cell: 5.868 5.868 5.868 Å, 144.49 131.65 61.41°
Fractional coordinates of all 4 atoms:
1 La 0.350 0.100 0.250
2 La 0.650 0.900 0.750
3 Be 0.063 0.313 0.750
4 Be 0.937 0.687 0.250

Properties
total energy = -4.175 eV per atom
V = 86.79 Å³/cell
SG = Imma, No. 74
offset from the most stable computed form = 112 meV per atom
energy of formation = 0.152 eV per atom


Record 13
# MgAl2Se4

An optimized crystal structure of MgAl2Se4 (GGA-PBE, Alexandria).

Cell: 7.147 7.147 7.147 Å, 134.73 134.73 65.95°
Fractional coordinates of all 7 atoms:
1 Mg 0.000 0.000 0.000
2 Al 0.250 0.750 0.500
3 Al 0.750 0.250 0.500
4 Se 0.140 0.140 0.536
5 Se 0.397 0.860 0.000
6 Se 0.603 0.603 0.464
7 Se 0.860 0.397 0.000

Properties
total energy = -4.261 eV per atom
V = 181.42 Å³/cell
SG = I-42m, No. 121
energy relative to the elements, uncorrected = -973 meV/atom